Entry 1:
A plane-wave DFT calculation with PBE was carried out for a relaxed structure of MgGa2Ag.

Properties
The formation energy from the elements is -0.0755 eV per atom.

Unit cell a=5.196 b=12.530 c=5.300 alpha=90.00 beta=116.72 gamma=90.00
Space group C2/c (No. 15)
Asymmetric unit:
Mg1 0.000 0.140 0.250 x4
Ga1 0.194 0.427 0.133 x8
Ag1 0.000 0.262 0.750 x4

---

Entry 2:
A plane-wave DFT calculation with PBE was carried out for a relaxed structure of Tm6Pt2PbSe3.

Properties
Its uncorrected formation energy is -15.9 eV/f.u.

Unit cell a=18.740 b=3.952 c=8.566 alpha=90.00 beta=111.93 gamma=90.00
Space group C2/m (No. 12)
Asymmetric unit:
Tm1 0.003 0.000 0.229 x4
Tm2 0.176 0.500 0.588 x4
Tm3 0.178 0.500 0.055 x4
Pt1 0.156 0.000 0.806 x4
Pb1 0.000 0.500 0.500 x2
Se1 0.000 0.500 0.000 x2
Se2 0.165 0.000 0.321 x4

---

Number 1: raw total energy -2.70 eV/atom. Number 2: raw total energy -5.75 eV/atom.